1.
A geometry-optimized Ac2TlCuO6 structure, computed with PBE.

a = 5.761 Å, b = 5.761 Å, c = 4.461 Å
α = 90.00°, β = 90.00°, γ = 90.00°
Space group P4mm (No. 99)
Unique sites:
Ac (0.000, 0.500, 0.000)
Tl (0.000, 0.000, 0.542)
Cu (0.500, 0.500, 0.591)
O (0.000, 0.000, 0.061)
O (0.265, 0.265, 0.637)
O (0.500, 0.500, 0.110)

---

2.
A geometry-optimized Ac2TlCuO5 structure, computed with PBE.

a = 7.221 Å, b = 7.221 Å, c = 5.769 Å
α = 90.00°, β = 90.00°, γ = 90.00°
Space group P4/mbm (No. 127)
Unique sites:
Ac (0.182, 0.318, 0.000)
Tl (0.000, 0.000, 0.500)
Cu (0.000, 0.500, 0.500)
O (0.000, 0.000, 0.000)
O (0.124, 0.624, 0.263)

---

3.
A geometry-optimized AcTlCu4O6 structure, computed with PBE.

a = 5.1912 Å, b = 5.1912 Å, c = 7.5814 Å
α = 90.00°, β = 90.00°, γ = 120.00°
Space group P6/mmm (No. 191)
Unique sites:
Ac (0.0000, 0.0000, 0.0000)
Tl (0.0000, 0.0000, 0.5000)
Cu (0.3333, 0.6667, 0.3254)
O (0.0000, 0.5000, 0.1809)

---

4.
A geometry-optimized Ac4TlCu3O12 structure, computed with PBE.

a = 8.077 Å, b = 8.077 Å, c = 8.077 Å
α = 90.00°, β = 90.00°, γ = 90.00°
Space group Im-3m (No. 229)
Unique sites:
Ac (0.250, 0.250, 0.250)
Tl (0.000, 0.000, 0.000)
Cu (0.000, 0.000, 0.500)
O (0.000, 0.000, 0.266)
O (0.000, 0.250, 0.500)

---

5.
A geometry-optimized Ac3TmCu2O9 structure, computed with PBE.

a = 5.7103 Å, b = 5.7103 Å, c = 7.0912 Å
α = 90.00°, β = 90.00°, γ = 120.00°
Space group P-3m1 (No. 164)
Unique sites:
Ac (0.0000, 0.0000, 0.0000)
Ac (0.3333, 0.6667, 0.6933)
Tm (0.0000, 0.0000, 0.5000)
Cu (0.3333, 0.6667, 0.1621)
O (0.0000, 0.5000, 0.0000)
O (0.1708, 0.3416, 0.3172)

---

6.
A geometry-optimized Ac2TmCu2O6 structure, computed with PBE.

a = 5.9929 Å, b = 5.9929 Å, c = 16.5898 Å
α = 90.00°, β = 90.00°, γ = 120.00°
Space group R-3m (No. 166, hexagonal axes)
Unique sites:
Ac (0.0000, 0.0000, 0.2101)
Tm (0.0000, 0.0000, 0.0000)
Cu (0.0000, 0.0000, 0.4207)
O (0.0304, 0.5152, 0.7603)

---

7.
A geometry-optimized Ac4TmCu3O12 structure, computed with PBE.

a = 8.044 Å, b = 8.044 Å, c = 8.044 Å
α = 90.00°, β = 90.00°, γ = 90.00°
Space group Im-3m (No. 229)
Unique sites:
Ac (0.250, 0.250, 0.250)
Tm (0.000, 0.000, 0.000)
Cu (0.000, 0.000, 0.500)
O (0.000, 0.000, 0.263)
O (0.000, 0.250, 0.500)

---

8.
A geometry-optimized AcU2CuO8 structure, computed with PBE.

a = 4.278 Å, b = 5.766 Å, c = 7.177 Å
α = 95.74°, β = 91.07°, γ = 96.05°
Space group P-1 (No. 2)
Unique sites:
Ac (0.000, 0.000, 0.000)
U (0.475, 0.470, 0.739)
Cu (0.000, 0.000, 0.500)
O (0.098, 0.361, 0.229)
O (0.107, 0.208, 0.710)
O (0.401, 0.693, 0.533)
O (0.442, 0.724, 0.015)

---

So what do the calculations give for formation energy from raw total energies? Going down the list: -1829, -2083, -561, -1908, -2401, -2261, -2297, -2786 meV/atom.